Material: Tb12Tl5Cd2
Method: DFT, PBE
State: optimized geometry

Geometry as POSCAR:
```
Tb12Tl5Cd2
1.0
8.562 -3.685 0.000
8.562 3.685 0.000
-1.212 0.000 9.109
Tb Tl Cd
12 5 2
direct
0.009 0.009 0.189
0.096 0.606 0.999
0.099 0.577 0.589
0.394 0.904 0.001
0.423 0.901 0.411
0.459 0.459 0.309
0.541 0.541 0.691
0.577 0.099 0.589
0.606 0.096 0.999
0.901 0.423 0.411
0.904 0.394 0.001
0.991 0.991 0.811
0.193 0.193 0.728
0.270 0.270 0.247
0.500 0.500 0.000
0.730 0.730 0.753
0.807 0.807 0.272
0.180 0.820 0.500
0.820 0.180 0.500
```

Energy of formation from the pure elements, eV/atom: -0.10
DOS at the Fermi energy, states/eV/cell: 19.65
DFT total energy, eV for the cell shown: -71.101